1.
A plane-wave DFT calculation with meta-GGA SCAN was carried out for a crystal of SrCaPb2 relaxed with PBEsol.

- spin magnetization (μB per formula unit) = 0.000
- space group = Pmmm, No. 47
- energy of formation from the pure elements (eV/atom) = -0.7329

The structure in POSCAR format:
```
SrCaPb2
1.0
3.5796 0.0000 0.0000
0.0000 4.6244 0.0000
0.0000 0.0000 7.3394
Sr Ca Pb
1 1 2
Direct
0.0000 0.0000 0.0000 Sr
0.0000 0.0000 0.5000 Ca
0.5000 0.5000 0.2698 Pb
0.5000 0.5000 0.7302 Pb
```

2.
A plane-wave DFT calculation with meta-GGA SCAN was carried out for a crystal of Zr2TlAu relaxed with PBEsol.

- spin magnetization (μB per formula unit) = 0.000
- space group = P4/mmm, No. 123
- energy of formation from the pure elements (eV/atom) = -0.4880

The structure in POSCAR format:
```
Zr2TlAu
1.0
3.1375 0.0000 0.0000
0.0000 3.1375 0.0000
0.0000 0.0000 8.2581
Zr Tl Au
2 1 1
Direct
0.0000 0.0000 0.2335 Zr
0.0000 0.0000 0.7665 Zr
0.5000 0.5000 0.5000 Tl
0.5000 0.5000 0.0000 Au
```

3.
A plane-wave DFT calculation with meta-GGA SCAN was carried out for a crystal of SiAgPb2 relaxed with PBEsol.

- spin magnetization (μB per formula unit) = 0.000
- space group = Cmmm, No. 65
- E_form (uncorrected) (eV/atom) = 0.44

The structure in POSCAR format:
```
SiAgPb2
1.0
3.3775 -4.0298 0.0000
3.3775 4.0298 0.0000
0.0000 0.0000 3.3441
Si Ag Pb
1 1 2
Direct
0.0000 0.0000 0.0000 Si
0.5000 0.5000 0.0000 Ag
0.0000 0.5000 0.5000 Pb
0.5000 0.0000 0.5000 Pb
```

4.
A plane-wave DFT calculation with meta-GGA SCAN was carried out for a crystal of SeClF3 relaxed with PBEsol.

- spin magnetization (μB per formula unit) = 0.614
- space group = Pm-3m, No. 221
- E_form (uncorrected) (eV/atom) = -0.67

The structure in POSCAR format:
```
SeClF3
1.0
4.1275 0.0000 0.0000
0.0000 4.1275 0.0000
0.0000 0.0000 4.1275
Se Cl F
1 1 3
Direct
0.0000 0.0000 0.0000 Se
0.5000 0.5000 0.5000 Cl
0.0000 0.0000 0.5000 F
0.0000 0.5000 0.0000 F
0.5000 0.0000 0.0000 F
```